The following is a DFT calculation (PBE) of crystalline CsBiAs2F at its relaxed geometry.

POSCAR file:
```
CsBiAs2F
1.0
5.039 0.000 0.000
0.000 5.039 0.000
0.000 0.000 5.236
Cs Bi As F
1 1 2 1
Direct
0.000 0.000 0.000
0.500 0.500 0.000
0.000 0.500 0.500
0.500 0.000 0.500
0.000 0.000 0.500
```

Raw formation energy in eV per atom: -0.04
Raw total energy in eV per atom: -3.224
Total moment in μB per atom: 0.000
Calculated volume in Å³/f.u.: 133
Space-group type: No. 123